[1]
{"formula": "In2CoPt", "functional": "PBE", "state": "relaxed", "lattice_angstrom": [[-1.932, 1.991, 4.461], [1.932, -1.991, 4.461], [1.932, 1.991, -4.461]], "species": ["In", "In", "Co", "Pt"], "frac_coords": [[0.000, 0.000, 0.000], [0.746, 0.246, 0.500], [0.500, 0.500, 0.000], [0.253, 0.753, 0.500]], "total_energy_ha_per_atom": -0.1721, "n_ef_per_ev_cell": 4.92, "polymorph_energy_mev_per_atom": 94.7}



[2]
{"formula": "Os3Rh2", "functional": "PBE", "state": "relaxed", "lattice_angstrom": [[4.164, 0.000, 0.000], [-2.082, 3.606, 0.000], [0.000, 0.000, 5.388]], "species": ["Os", "Os", "Os", "Rh", "Rh"], "frac_coords": [[0.000, 0.000, 0.000], [0.333, 0.667, 0.402], [0.667, 0.333, 0.598], [0.333, 0.667, 0.873], [0.667, 0.333, 0.127]], "total_energy_ha_per_atom": -0.3246, "n_ef_per_ev_cell": 6.47, "polymorph_energy_mev_per_atom": 604.8}



[3]
{"formula": "Sm4Dy2Hg3O2", "functional": "PBE", "state": "relaxed", "lattice_angstrom": [[-2.420, 2.420, 11.822], [2.420, -2.420, 11.822], [2.420, 2.420, -11.822]], "species": ["Sm", "Sm", "Sm", "Sm", "Dy", "Dy", "Hg", "Hg", "Hg", "O", "O"], "frac_coords": [[0.086, 0.586, 0.500], [0.414, 0.914, 0.500], [0.586, 0.086, 0.500], [0.914, 0.414, 0.500], [0.201, 0.201, 0.000], [0.799, 0.799, 0.000], [0.327, 0.327, 0.000], [0.500, 0.500, 0.000], [0.673, 0.673, 0.000], [0.106, 0.106, 0.000], [0.894, 0.894, 0.000]], "total_energy_ha_per_atom": -0.1753, "n_ef_per_ev_cell": 6.94, "raw_formation_energy_ev_per_atom": -1.234}



[4]
{"formula": "BaLi6CdGa", "functional": "PBE", "state": "relaxed", "lattice_angstrom": [[-2.812, 5.458, 7.537], [2.812, -5.458, 7.537], [2.812, 5.458, -7.537]], "species": ["Ba", "Ba", "Li", "Li", "Li", "Li", "Li", "Li", "Li", "Li", "Li", "Li", "Li", "Li", "Cd", "Cd", "Ga", "Ga"], "frac_coords": [[0.373, 0.123, 0.250], [0.627, 0.877, 0.750], [0.118, 0.421, 0.233], [0.118, 0.885, 0.697], [0.157, 0.907, 0.250], [0.194, 0.444, 0.750], [0.312, 0.115, 0.733], [0.312, 0.579, 0.197], [0.688, 0.421, 0.803], [0.688, 0.885, 0.267], [0.806, 0.556, 0.250], [0.843, 0.093, 0.750], [0.882, 0.115, 0.303], [0.882, 0.579, 0.767], [0.000, 0.000, 0.500], [0.000, 0.500, 0.000], [0.000, 0.500, 0.500], [0.500, 0.500, 0.000]], "total_energy_ha_per_atom": -0.0698, "n_ef_per_ev_cell": 9.31}